No. 1
A plane-wave DFT calculation with PBE-GGA was carried out for a relaxed structure of PrNi3As2.

Computed properties:
SG	P-3m1
crystal system	trigonal

Geometry as POSCAR:
```
PrNi3As2
1.0
-1.304 -1.610 3.476
2.637 -2.027 -2.305
5.115 2.928 3.275
As Ni Pr
2 3 1
direct
0.333 0.667 0.292 As
0.667 0.333 0.708 As
0.667 0.333 0.345 Ni
0.000 0.000 0.500 Ni
0.333 0.667 0.655 Ni
0.000 0.000 0.000 Pr
```

No. 2
A plane-wave DFT calculation with PBE-GGA was carried out for a relaxed structure of DyCdPO.

Computed properties:
SG	Pmc2_1
crystal system	orthorhombic

Geometry as POSCAR:
```
DyCdPO
1.0
3.964 0.000 0.000
0.000 6.139 0.000
0.000 0.000 6.630
Cd Dy O P
2 2 2 2
direct
0.000 0.592 0.470 Cd
0.000 0.408 0.970 Cd
0.500 0.963 0.092 Dy
0.500 0.037 0.592 Dy
0.500 0.765 0.366 O
0.500 0.235 0.866 O
0.000 0.210 0.326 P
0.000 0.790 0.826 P
```

No. 3
A plane-wave DFT calculation with PBE-GGA was carried out for a relaxed structure of KCu3PbS4.

Computed properties:
SG	P-43m
crystal system	cubic

Geometry as POSCAR:
```
KCu3PbS4
1.0
-4.858 3.603 0.569
-3.628 -4.673 -1.380
-0.380 -1.443 5.889
Cu K Pb S
3 1 1 4
direct
0.500 0.500 0.000 Cu
0.500 0.000 0.500 Cu
0.000 0.500 0.500 Cu
0.000 0.000 0.000 K
0.500 0.500 0.500 Pb
0.268 0.268 0.268 S
0.732 0.732 0.268 S
0.732 0.268 0.732 S
0.268 0.732 0.732 S
```

No. 4
A plane-wave DFT calculation with PBE-GGA was carried out for a relaxed structure of DyBiN2O.

Computed properties:
SG	P6_3cm
crystal system	hexagonal

Geometry as POSCAR:
```
DyBiN2O
1.0
6.643 0.000 0.000
-3.321 5.753 0.000
0.000 0.000 12.176
Bi Dy N O
6 6 12 6
direct
0.333 0.000 0.000 Bi
0.000 0.333 0.000 Bi
0.667 0.667 0.000 Bi
0.667 0.000 0.500 Bi
0.333 0.333 0.500 Bi
0.000 0.667 0.500 Bi
0.667 0.333 0.236 Dy
0.333 0.667 0.236 Dy
0.000 0.000 0.266 Dy
0.667 0.333 0.736 Dy
0.333 0.667 0.736 Dy
0.000 0.000 0.766 Dy
0.310 0.000 0.169 N
0.000 0.310 0.169 N
0.690 0.690 0.169 N
0.641 0.000 0.334 N
0.359 0.359 0.334 N
0.000 0.641 0.334 N
0.690 0.000 0.669 N
0.310 0.310 0.669 N
0.000 0.690 0.669 N
0.359 0.000 0.834 N
0.000 0.359 0.834 N
0.641 0.641 0.834 N
0.667 0.333 0.030 O
0.333 0.667 0.030 O
0.000 0.000 0.467 O
0.667 0.333 0.530 O
0.333 0.667 0.530 O
0.000 0.000 0.967 O
```

No. 5
A plane-wave DFT calculation with PBE-GGA was carried out for a relaxed structure of YSi6Ni6.

Computed properties:
SG	P-4b2
crystal system	tetragonal

Geometry as POSCAR:
```
YSi6Ni6
1.0
7.722 0.000 0.000
0.000 7.722 0.000
0.000 0.000 11.174
Ni Si Y
24 24 4
direct
0.864 0.125 0.074 Ni
0.364 0.375 0.074 Ni
0.636 0.625 0.074 Ni
0.136 0.875 0.074 Ni
0.443 0.188 0.249 Ni
0.943 0.312 0.249 Ni
0.057 0.688 0.249 Ni
0.557 0.812 0.249 Ni
0.176 0.157 0.376 Ni
0.676 0.343 0.376 Ni
0.324 0.657 0.376 Ni
0.824 0.843 0.376 Ni
0.843 0.176 0.624 Ni
0.343 0.324 0.624 Ni
0.657 0.676 0.624 Ni
0.157 0.824 0.624 Ni
0.312 0.057 0.751 Ni
0.812 0.443 0.751 Ni
0.188 0.557 0.751 Ni
0.688 0.943 0.751 Ni
0.125 0.136 0.926 Ni
0.625 0.364 0.926 Ni
0.375 0.636 0.926 Ni
0.875 0.864 0.926 Ni
0.157 0.168 0.131 Si
0.657 0.332 0.131 Si
0.343 0.668 0.131 Si
0.843 0.832 0.131 Si
0.712 0.070 0.251 Si
0.212 0.430 0.251 Si
0.788 0.570 0.251 Si
0.288 0.930 0.251 Si
0.890 0.138 0.421 Si
0.390 0.362 0.421 Si
0.610 0.638 0.421 Si
0.110 0.862 0.421 Si
0.138 0.110 0.579 Si
0.638 0.390 0.579 Si
0.362 0.610 0.579 Si
0.862 0.890 0.579 Si
0.570 0.212 0.749 Si
0.070 0.288 0.749 Si
0.930 0.712 0.749 Si
0.430 0.788 0.749 Si
0.832 0.157 0.869 Si
0.332 0.343 0.869 Si
0.668 0.657 0.869 Si
0.168 0.843 0.869 Si
0.500 0.000 0.000 Y
0.000 0.500 0.000 Y
0.500 0.000 0.500 Y
0.000 0.500 0.500 Y
```

No. 6
A plane-wave DFT calculation with PBE-GGA was carried out for a relaxed structure of NaHoU.

Computed properties:
SG	F-43m
crystal system	cubic
polymorph energy (0 for the lowest one)	0.00	eV/f.u.

Geometry as POSCAR:
```
NaHoU
1.0
1.830 3.879 2.965
-3.268 2.787 2.955
0.099 -0.508 5.188
Ho Na U
1 1 1
direct
0.250 0.250 0.250 Ho
0.000 0.000 0.000 Na
0.750 0.750 0.750 U
```

No. 7
A plane-wave DFT calculation with PBE-GGA was carried out for a relaxed structure of Pr3Mg3Zn2In.

Computed properties:
SG	P-62m
crystal system	hexagonal

Geometry as POSCAR:
```
Pr3Mg3Zn2In
1.0
-0.479 -7.282 1.748
3.138 2.104 -6.484
4.216 0.230 2.115
In Mg Pr Zn
1 3 3 2
direct
0.000 0.000 0.000 In
0.753 0.000 0.500 Mg
0.247 0.247 0.500 Mg
0.000 0.753 0.500 Mg
0.433 0.000 0.000 Pr
0.000 0.433 0.000 Pr
0.567 0.567 0.000 Pr
0.667 0.333 0.500 Zn
0.333 0.667 0.500 Zn
```

No. 8
A plane-wave DFT calculation with PBE-GGA was carried out for a relaxed structure of TbNbB4.

Computed properties:
SG	P6/mmm
crystal system	hexagonal

Geometry as POSCAR:
```
TbNbB4
1.0
-3.060 0.061 -0.777
0.863 -0.651 2.967
-0.276 7.123 1.644
B Nb Tb
4 1 1
direct
0.667 0.333 0.228 B
0.333 0.667 0.228 B
0.667 0.333 0.772 B
0.333 0.667 0.772 B
0.000 0.000 0.000 Nb
0.000 0.000 0.500 Tb
```

No. 9
A plane-wave DFT calculation with PBE-GGA was carried out for a relaxed structure of Sc2Pd2O5.

Computed properties:
SG	P4/mmm
crystal system	tetragonal
polymorph energy (0 for the lowest one)	2.94	eV/f.u.

Geometry as POSCAR:
```
Sc2Pd2O5
1.0
6.659 0.000 0.000
0.000 3.953 0.000
0.000 0.000 3.953
O Pd Sc
5 2 2
direct
0.221 0.500 0.000 O
0.779 0.500 0.000 O
0.221 0.000 0.500 O
0.779 0.000 0.500 O
0.500 0.500 0.500 O
0.189 0.500 0.500 Pd
0.811 0.500 0.500 Pd
0.000 0.000 0.000 Sc
0.500 0.000 0.000 Sc
```

No. 10
A plane-wave DFT calculation with PBE-GGA was carried out for a relaxed structure of NpGeBi.

Computed properties:
SG	F-43m
crystal system	cubic
polymorph energy (0 for the lowest one)	0.00	eV/f.u.

Geometry as POSCAR:
```
NpGeBi
1.0
2.474 -1.949 3.799
-2.460 -2.020 3.770
0.067 -4.891 0.652
Bi Ge Np
1 1 1
direct
0.250 0.250 0.250 Bi
0.000 0.000 0.000 Ge
0.750 0.750 0.750 Np
```

No. 11
A plane-wave DFT calculation with PBE-GGA was carried out for a relaxed structure of Pr2NdSi4Au4.

Computed properties:
SG	Immm
crystal system	orthorhombic

Geometry as POSCAR:
```
Pr2NdSi4Au4
1.0
-2.142 2.152 12.651
2.142 -2.152 12.651
2.142 2.152 -12.651
Au Nd Pr Si
4 1 2 4
direct
0.406 0.406 0.000 Au
0.594 0.594 0.000 Au
0.750 0.250 0.500 Au
0.250 0.750 0.500 Au
0.500 0.000 0.500 Nd
0.148 0.148 0.000 Pr
0.852 0.852 0.000 Pr
0.309 0.309 0.000 Si
0.691 0.691 0.000 Si
0.953 0.453 0.500 Si
0.047 0.547 0.500 Si
```

No. 12
A plane-wave DFT calculation with PBE-GGA was carried out for a relaxed structure of Co3W3C.

Computed properties:
SG	Fd-3m
crystal system	cubic

Geometry as POSCAR:
```
Co3W3C
1.0
7.113 -0.197 3.272
1.048 2.743 7.261
1.468 -4.956 5.884
C Co W
4 12 12
direct
0.125 0.125 0.125 C
0.625 0.125 0.125 C
0.125 0.625 0.125 C
0.125 0.125 0.625 C
0.625 0.625 0.125 Co
0.741 0.420 0.420 Co
0.420 0.741 0.420 Co
0.420 0.420 0.420 Co
0.830 0.830 0.509 Co
0.625 0.125 0.625 Co
0.125 0.625 0.625 Co
0.625 0.625 0.625 Co
0.420 0.420 0.741 Co
0.830 0.509 0.830 Co
0.509 0.830 0.830 Co
0.830 0.830 0.830 Co
0.453 0.047 0.047 W
0.047 0.453 0.047 W
0.453 0.453 0.047 W
0.203 0.797 0.203 W
0.797 0.203 0.203 W
0.797 0.797 0.203 W
0.453 0.047 0.453 W
0.047 0.453 0.453 W
0.047 0.047 0.453 W
0.203 0.797 0.797 W
0.797 0.203 0.797 W
0.203 0.203 0.797 W
```

No. 13
A plane-wave DFT calculation with PBE-GGA was carried out for a relaxed structure of MgCuGe2.

Computed properties:
SG	F-43m
crystal system	cubic

Geometry as POSCAR:
```
MgCuGe2
1.0
0.843 -1.045 4.421
-2.597 -3.149 2.165
1.795 -4.113 1.099
Cu Ge Mg
1 2 1
direct
0.250 0.250 0.250 Cu
0.000 0.000 0.000 Ge
0.750 0.750 0.750 Ge
0.500 0.500 0.500 Mg
```

No. 14
A plane-wave DFT calculation with PBE-GGA was carried out for a relaxed structure of IrOs2W.

Computed properties:
SG	F-43m
crystal system	cubic
energy relative to the elements	0.555	eV per atom
polymorph energy (0 for the lowest one)	3.06	eV/f.u.

Geometry as POSCAR:
```
IrOs2W
1.0
0.565 -0.244 4.367
-3.461 -0.730 2.634
-0.421 -3.874 2.065
Ir Os W
1 2 1
direct
0.250 0.250 0.250 Ir
0.000 0.000 0.000 Os
0.750 0.750 0.750 Os
0.500 0.500 0.500 W
```

No. 15
A plane-wave DFT calculation with PBE-GGA was carried out for a relaxed structure of Cs2CdBiCl6.

Computed properties:
SG	Fm-3m
crystal system	cubic

Geometry as POSCAR:
```
Cs2CdBiCl6
1.0
0.000 5.503 5.503
5.503 0.000 5.503
5.503 5.503 0.000
Bi Cd Cl Cs
1 1 6 2
direct
0.000 0.000 0.000 Bi
0.500 0.500 0.500 Cd
0.749 0.251 0.251 Cl
0.251 0.749 0.251 Cl
0.749 0.749 0.251 Cl
0.251 0.251 0.749 Cl
0.749 0.251 0.749 Cl
0.251 0.749 0.749 Cl
0.250 0.250 0.250 Cs
0.750 0.750 0.750 Cs
```

No. 16
A plane-wave DFT calculation with PBE-GGA was carried out for a relaxed structure of CsTaAg2Se4.

Computed properties:
SG	Ama2
crystal system	orthorhombic

Geometry as POSCAR:
```
CsTaAg2Se4
1.0
-6.491 5.045 0.718
0.615 -0.690 10.411
3.125 5.229 -8.493
Ag Cs Se Ta
4 2 8 2
direct
0.250 0.975 0.207 Ag
0.000 0.630 0.630 Ag
0.500 0.630 0.630 Ag
0.750 0.207 0.975 Ag
0.250 0.535 0.173 Cs
0.750 0.173 0.535 Cs
0.750 0.589 0.161 Se
0.750 0.370 0.346 Se
0.250 0.346 0.370 Se
0.250 0.161 0.589 Se
0.504 0.934 0.696 Se
0.996 0.934 0.696 Se
0.004 0.696 0.934 Se
0.496 0.696 0.934 Se
0.750 0.704 0.478 Ta
0.250 0.478 0.704 Ta
```

No. 17
A plane-wave DFT calculation with PBE-GGA was carried out for a relaxed structure of LaPrNi8B2.

Computed properties:
SG	P6/mmm
crystal system	hexagonal
polymorph energy (0 for the lowest one)	0.09	eV/f.u.

Geometry as POSCAR:
```
LaPrNi8B2
1.0
-0.926 -1.956 -4.629
0.280 -3.081 4.066
-6.879 0.764 1.053
B La Ni Pr
2 1 8 1
direct
0.667 0.333 0.500 B
0.333 0.667 0.500 B
0.000 0.000 0.500 La
0.667 0.333 0.000 Ni
0.333 0.667 0.000 Ni
0.500 0.000 0.294 Ni
0.000 0.500 0.294 Ni
0.500 0.500 0.294 Ni
0.500 0.000 0.706 Ni
0.000 0.500 0.706 Ni
0.500 0.500 0.706 Ni
0.000 0.000 0.000 Pr
```

No. 18
A plane-wave DFT calculation with PBE-GGA was carried out for a relaxed structure of CsReHg.

Computed properties:
SG	F-43m
crystal system	cubic
polymorph energy (0 for the lowest one)	0.79	eV/f.u.

Geometry as POSCAR:
```
CsReHg
1.0
-0.218 -1.773 5.654
-1.266 3.900 4.284
-5.208 -0.281 2.820
Cs Hg Re
1 1 1
direct
0.000 0.000 0.000 Cs
0.250 0.250 0.250 Hg
0.750 0.750 0.750 Re
```

No. 19
A plane-wave DFT calculation with PBE-GGA was carried out for a relaxed structure of TaTlGa.

Computed properties:
SG	F-43m
crystal system	cubic
polymorph energy (0 for the lowest one)	0.00	eV/f.u.

Geometry as POSCAR:
```
TaTlGa
1.0
0.000 3.283 3.283
3.283 0.000 3.283
3.283 3.283 0.000
Ga Ta Tl
1 1 1
direct
0.250 0.250 0.250 Ga
0.000 0.000 0.000 Ta
0.750 0.750 0.750 Tl
```

No. 20
A plane-wave DFT calculation with PBE-GGA was carried out for a relaxed structure of Gd2Al5Ga.

Computed properties:
SG	Amm2
crystal system	orthorhombic

Geometry as POSCAR:
```
Gd2Al5Ga
1.0
-3.207 0.289 3.256
0.067 -6.321 0.626
3.947 -2.772 4.134
Al Ga Gd
5 1 2
direct
0.000 0.711 0.147 Al
0.500 0.852 0.290 Al
0.000 0.147 0.711 Al
0.500 0.290 0.852 Al
0.500 0.854 0.854 Al
0.000 0.147 0.147 Ga
0.500 0.332 0.332 Gd
0.000 0.668 0.668 Gd
```

No. 21
A plane-wave DFT calculation with PBE-GGA was carried out for a relaxed structure of PmAlTe.

Computed properties:
SG	F-43m
crystal system	cubic
polymorph energy (0 for the lowest one)	0.00	eV/f.u.

Geometry as POSCAR:
```
PmAlTe
1.0
-1.798 -3.882 2.820
-4.818 0.115 1.741
-3.509 -3.179 -1.958
Al Pm Te
1 1 1
direct
0.250 0.250 0.250 Al
0.750 0.750 0.750 Pm
0.000 0.000 0.000 Te
```

How do the records compare in energy? In the order shown, they have -5.803 -5.441 -3.660 -6.624 -6.226 -4.189 -2.987 -7.634 -6.616 -6.908 -5.209 -9.928 -3.473 -10.512 -3.127 -4.763 -6.041 -2.358 -4.930 -4.346 -4.146 eV/atom.